A plane-wave DFT calculation with PBE was carried out for an optimized crystal structure of HfPSN2. Values from VASP.

Results
Total magnetization   0.03 Bohr magnetons per cell
SG   P4/mmm, No. 123
Uncorrected formation energy   3.5 eV/f.u.
E above lowest polymorph   2.13 eV per formula unit

```
&SYSTEM
  ibrav = 0, nat = 5, ntyp = 4
/
ATOMIC_SPECIES
Hf 178.49 Hf.upf
P 30.97 P.upf
S 32.06 S.upf
N 14.01 N.upf
CELL_PARAMETERS angstrom
4.0451 0.0000 0.0000
0.0000 4.0451 0.0000
0.0000 0.0000 5.2712
ATOMIC_POSITIONS angstrom
Hf 0.0000 0.0000 0.0000
P 2.0226 2.0226 2.6356
S 0.0000 0.0000 2.6356
N 0.0000 2.0226 0.0000
N 2.0226 0.0000 0.0000
```

A plane-wave DFT calculation with PBE was carried out for an optimized crystal structure of HfPSN2. Values from VASP.

Results
Total magnetization   0.00 Bohr magnetons per cell
SG   P4/mmm, No. 123
Uncorrected formation energy   1.3 eV/f.u.
E above lowest polymorph   0.00 eV per formula unit

```
&SYSTEM
  ibrav = 0, nat = 5, ntyp = 4
/
ATOMIC_SPECIES
Hf 178.49 Hf.upf
P 30.97 P.upf
S 32.06 S.upf
N 14.01 N.upf
CELL_PARAMETERS angstrom
3.6601 0.0000 0.0000
0.0000 3.6601 0.0000
0.0000 0.0000 4.3643
ATOMIC_POSITIONS angstrom
Hf 0.0000 0.0000 0.0000
P 1.8300 1.8300 2.1821
S 1.8300 1.8300 0.0000
N 0.0000 1.8300 2.1821
N 1.8300 0.0000 2.1821
```

A plane-wave DFT calculation with PBE was carried out for an optimized crystal structure of HfPSeN2. Values from VASP.

Results
Total magnetization   0.34 Bohr magnetons per cell
SG   P4/mmm, No. 123
Uncorrected formation energy   3.2 eV/f.u.
E above lowest polymorph   0.36 eV per formula unit

```
&SYSTEM
  ibrav = 0, nat = 5, ntyp = 4
/
ATOMIC_SPECIES
Hf 178.49 Hf.upf
P 30.97 P.upf
Se 78.96 Se.upf
N 14.01 N.upf
CELL_PARAMETERS angstrom
4.0445 0.0000 0.0000
0.0000 4.0445 0.0000
0.0000 0.0000 5.6498
ATOMIC_POSITIONS angstrom
Hf 0.0000 0.0000 0.0000
P 2.0222 2.0222 2.8249
Se 0.0000 0.0000 2.8249
N 0.0000 2.0222 0.0000
N 2.0222 0.0000 0.0000
```

A plane-wave DFT calculation with PBE was carried out for an optimized crystal structure of HfPSeN2. Values from VASP.

Results
Total magnetization   0.00 Bohr magnetons per cell
SG   P4/mmm, No. 123
Uncorrected formation energy   2.8 eV/f.u.
E above lowest polymorph   0.00 eV per formula unit

```
&SYSTEM
  ibrav = 0, nat = 5, ntyp = 4
/
ATOMIC_SPECIES
Hf 178.49 Hf.upf
P 30.97 P.upf
Se 78.96 Se.upf
N 14.01 N.upf
CELL_PARAMETERS angstrom
3.7384 0.0000 0.0000
0.0000 3.7384 0.0000
0.0000 0.0000 4.6552
ATOMIC_POSITIONS angstrom
Hf 0.0000 0.0000 0.0000
P 1.8692 1.8692 2.3276
Se 1.8692 1.8692 0.0000
N 0.0000 1.8692 2.3276
N 1.8692 0.0000 2.3276
```

A plane-wave DFT calculation with PBE was carried out for an optimized crystal structure of HfTe2PN. Values from VASP.

Results
Total magnetization   0.00 Bohr magnetons per cell
SG   P4/mmm, No. 123
Uncorrected formation energy   2.1 eV/f.u.
E above lowest polymorph   0.00 eV per formula unit

```
&SYSTEM
  ibrav = 0, nat = 5, ntyp = 4
/
ATOMIC_SPECIES
Hf 178.49 Hf.upf
Te 127.60 Te.upf
P 30.97 P.upf
N 14.01 N.upf
CELL_PARAMETERS angstrom
5.5380 0.0000 0.0000
0.0000 5.5380 0.0000
0.0000 0.0000 3.3126
ATOMIC_POSITIONS angstrom
Hf 0.0000 0.0000 0.0000
Te 0.0000 2.7690 1.6563
Te 2.7690 0.0000 1.6563
P 2.7690 2.7690 1.6563
N 2.7690 2.7690 0.0000
```

A plane-wave DFT calculation with PBE was carried out for an optimized crystal structure of HfTe2PN. Values from VASP.

Results
Total magnetization   0.00 Bohr magnetons per cell
SG   P4/mmm, No. 123
Uncorrected formation energy   2.1 eV/f.u.
E above lowest polymorph   0.01 eV per formula unit

```
&SYSTEM
  ibrav = 0, nat = 5, ntyp = 4
/
ATOMIC_SPECIES
Hf 178.49 Hf.upf
Te 127.60 Te.upf
P 30.97 P.upf
N 14.01 N.upf
CELL_PARAMETERS angstrom
5.6544 0.0000 0.0000
0.0000 5.6544 0.0000
0.0000 0.0000 3.9511
ATOMIC_POSITIONS angstrom
Hf 0.0000 0.0000 0.0000
Te 0.0000 2.8272 0.0000
Te 2.8272 0.0000 0.0000
P 2.8272 2.8272 1.9756
N 0.0000 0.0000 1.9756
```

A plane-wave DFT calculation with PBE was carried out for an optimized crystal structure of HfThPN. Values from VASP.

Results
Total magnetization   0.00 Bohr magnetons per cell
SG   P4/nmm, No. 129
Uncorrected formation energy   -5.2 eV/f.u.

```
&SYSTEM
  ibrav = 0, nat = 8, ntyp = 4
/
ATOMIC_SPECIES
Hf 178.49 Hf.upf
Th 232.04 Th.upf
P 30.97 P.upf
N 14.01 N.upf
CELL_PARAMETERS angstrom
4.2113 0.0000 0.0000
0.0000 4.2113 0.0000
0.0000 0.0000 8.9439
ATOMIC_POSITIONS angstrom
Hf 1.0528 3.1585 0.0000
Hf 3.1585 1.0528 0.0000
Th 1.0528 1.0528 3.3800
Th 3.1585 3.1585 5.5639
P 1.0528 1.0528 7.4007
P 3.1585 3.1585 1.5432
N 1.0528 3.1585 4.4720
N 3.1585 1.0528 4.4720
```

A plane-wave DFT calculation with PBE was carried out for an optimized crystal structure of HfUPN. Values from VASP.

Results
Total magnetization   2.34 Bohr magnetons per cell
SG   P4/nmm, No. 129
Uncorrected formation energy   -4.2 eV/f.u.

```
&SYSTEM
  ibrav = 0, nat = 8, ntyp = 4
/
ATOMIC_SPECIES
Hf 178.49 Hf.upf
U 238.03 U.upf
P 30.97 P.upf
N 14.01 N.upf
CELL_PARAMETERS angstrom
3.9699 0.0000 0.0000
0.0000 3.9699 0.0000
0.0000 0.0000 8.6066
ATOMIC_POSITIONS angstrom
Hf 0.9925 2.9774 0.0000
Hf 2.9774 0.9925 0.0000
U 0.9925 0.9925 3.1902
U 2.9774 2.9774 5.4165
P 0.9925 0.9925 6.8445
P 2.9774 2.9774 1.7621
N 0.9925 2.9774 4.3033
N 2.9774 0.9925 4.3033
```

A plane-wave DFT calculation with PBE was carried out for an optimized crystal structure of HfUP2N. Values from VASP.

Results
Total magnetization   0.94 Bohr magnetons per cell
SG   P4/nmm, No. 129
Uncorrected formation energy   -5.6 eV/f.u.

```
&SYSTEM
  ibrav = 0, nat = 10, ntyp = 4
/
ATOMIC_SPECIES
Hf 178.49 Hf.upf
U 238.03 U.upf
P 30.97 P.upf
N 14.01 N.upf
CELL_PARAMETERS angstrom
3.7021 0.0000 0.0000
0.0000 3.7021 0.0000
0.0000 0.0000 12.5566
ATOMIC_POSITIONS angstrom
Hf 0.9255 0.9255 1.2238
Hf 2.7766 2.7766 11.3328
U 0.9255 0.9255 7.5313
U 2.7766 2.7766 5.0253
P 0.9255 0.9255 3.8220
P 0.9255 0.9255 11.0946
P 2.7766 2.7766 1.4620
P 2.7766 2.7766 8.7346
N 0.9255 2.7766 6.2783
N 2.7766 0.9255 6.2783
```

A plane-wave DFT calculation with PBE was carried out for an optimized crystal structure of HfUPN2. Values from VASP.

Results
Total magnetization   1.01 Bohr magnetons per cell
SG   I4mm, No. 107
Uncorrected formation energy   -6.2 eV/f.u.

```
&SYSTEM
  ibrav = 0, nat = 5, ntyp = 4
/
ATOMIC_SPECIES
Hf 178.49 Hf.upf
U 238.03 U.upf
P 30.97 P.upf
N 14.01 N.upf
CELL_PARAMETERS angstrom
-1.8474 1.8474 5.6569
1.8474 -1.8474 5.6569
1.8474 1.8474 -5.6569
ATOMIC_POSITIONS angstrom
Hf 0.0000 0.0000 0.0000
U 0.0000 0.0000 3.4322
P 0.0000 0.0000 7.4276
N 1.8474 0.0000 4.5887
N 0.0000 1.8474 4.5887
```

A plane-wave DFT calculation with PBE was carried out for an optimized crystal structure of HfV2PN. Values from VASP.

Results
Total magnetization   0.00 Bohr magnetons per cell
SG   P4/mmm, No. 123
Uncorrected formation energy   -3.4 eV/f.u.

```
&SYSTEM
  ibrav = 0, nat = 5, ntyp = 4
/
ATOMIC_SPECIES
Hf 178.49 Hf.upf
V 50.94 V.upf
P 30.97 P.upf
N 14.01 N.upf
CELL_PARAMETERS angstrom
3.8672 0.0000 0.0000
0.0000 3.8672 0.0000
0.0000 0.0000 4.4450
ATOMIC_POSITIONS angstrom
Hf 0.0000 0.0000 0.0000
V 0.0000 1.9336 2.2225
V 1.9336 0.0000 2.2225
P 1.9336 1.9336 0.0000
N 0.0000 0.0000 2.2225
```

A plane-wave DFT calculation with PBE was carried out for an optimized crystal structure of HfZnPN. Values from VASP.

Results
Total magnetization   0.00 Bohr magnetons per cell
SG   R-3m, No. 166
Uncorrected formation energy   -3.7 eV/f.u.

```
&SYSTEM
  ibrav = 0, nat = 8, ntyp = 4
/
ATOMIC_SPECIES
Hf 178.49 Hf.upf
Zn 65.41 Zn.upf
P 30.97 P.upf
N 14.01 N.upf
CELL_PARAMETERS angstrom
1.8682 1.0786 9.9707
-1.8682 1.0786 9.9707
0.0000 -2.1573 9.9707
ATOMIC_POSITIONS angstrom
Hf 0.0000 0.0000 3.7295
Hf 0.0000 0.0000 26.1826
Zn 0.0000 0.0000 9.1180
Zn 0.0000 0.0000 20.7940
P 0.0000 0.0000 11.7258
P 0.0000 0.0000 18.1862
N 0.0000 0.0000 5.8454
N 0.0000 0.0000 24.0666
```

A plane-wave DFT calculation with PBE was carried out for an optimized crystal structure of HfPa2N4. Values from VASP.

Results
Total magnetization   0.00 Bohr magnetons per cell
SG   Fd-3m, No. 227
Uncorrected formation energy   -8.9 eV/f.u.

```
&SYSTEM
  ibrav = 0, nat = 28, ntyp = 3
/
ATOMIC_SPECIES
Hf 178.49 Hf.upf
Pa 231.04 Pa.upf
N 14.01 N.upf
CELL_PARAMETERS angstrom
0.0000 5.7098 5.7098
5.7098 0.0000 5.7098
5.7098 5.7098 0.0000
ATOMIC_POSITIONS angstrom
Hf 0.0000 0.0000 0.0000
Hf 2.8549 2.8549 0.0000
Hf 2.8549 0.0000 2.8549
Hf 0.0000 2.8549 2.8549
Pa 3.0982 3.0982 3.0982
Pa 5.4665 5.4665 3.0982
Pa 5.4665 3.0982 5.4665
Pa 8.3213 5.9530 5.9530
Pa 3.0982 5.4665 5.4665
Pa 5.9530 8.3213 5.9530
Pa 5.9530 5.9530 8.3213
Pa 8.3213 8.3213 8.3213
N 5.7098 2.8549 2.8549
N 4.2823 4.2823 0.7706
N 4.2823 0.7706 4.2823
N 7.7940 4.2823 4.2823
N 7.1372 7.1372 3.6255
N 7.1372 3.6255 7.1372
N 10.6489 7.1372 7.1372
N 2.8549 5.7098 2.8549
N 2.8549 2.8549 5.7098
N 5.7098 5.7098 5.7098
N 0.7706 4.2823 4.2823
N 4.2823 7.7940 4.2823
N 4.2823 4.2823 7.7940
N 3.6255 7.1372 7.1372
N 7.1372 10.6489 7.1372
N 7.1372 7.1372 10.6489
```

A plane-wave DFT calculation with PBE was carried out for an optimized crystal structure of Hf2Pa2N7. Values from VASP.

Results
Total magnetization   1.52 Bohr magnetons per cell
SG   Cmmm, No. 65
Uncorrected formation energy   -11.9 eV/f.u.

```
&SYSTEM
  ibrav = 0, nat = 11, ntyp = 3
/
ATOMIC_SPECIES
Hf 178.49 Hf.upf
Pa 231.04 Pa.upf
N 14.01 N.upf
CELL_PARAMETERS angstrom
3.7313 -3.9182 0.0000
3.7313 3.9182 0.0000
0.0000 0.0000 5.0889
ATOMIC_POSITIONS angstrom
Hf 3.7313 2.1803 0.0000
Hf 3.7313 -2.1803 0.0000
Pa 1.7679 0.0000 2.5445
Pa 5.6947 0.0000 2.5445
N 0.0000 0.0000 1.2758
N 0.0000 0.0000 3.8131
N 1.8657 1.9591 1.2843
N 1.8657 1.9591 3.8046
N 1.8657 -1.9591 1.2843
N 1.8657 -1.9591 3.8046
N 3.7313 0.0000 0.0000
```

A plane-wave DFT calculation with PBE was carried out for an optimized crystal structure of HfPaN2. Values from VASP.

Results
Total magnetization   0.00 Bohr magnetons per cell
SG   R3m, No. 160
Uncorrected formation energy   -5.7 eV/f.u.

```
&SYSTEM
  ibrav = 0, nat = 4, ntyp = 3
/
ATOMIC_SPECIES
Hf 178.49 Hf.upf
Pa 231.04 Pa.upf
N 14.01 N.upf
CELL_PARAMETERS angstrom
1.6060 0.9272 6.0103
-1.6060 0.9272 6.0103
0.0000 -1.8545 6.0103
ATOMIC_POSITIONS angstrom
Hf 0.0000 0.0000 0.0000
Pa 0.0000 0.0000 3.1275
N 0.0000 0.0000 10.7313
N 0.0000 0.0000 13.4108
```

A plane-wave DFT calculation with PBE was carried out for an optimized crystal structure of Hf2PaN4. Values from VASP.

Results
Total magnetization   0.00 Bohr magnetons per cell
SG   Pbam, No. 55
Uncorrected formation energy   -11.0 eV/f.u.
E above lowest polymorph   1.11 eV per formula unit

```
&SYSTEM
  ibrav = 0, nat = 14, ntyp = 3
/
ATOMIC_SPECIES
Hf 178.49 Hf.upf
Pa 231.04 Pa.upf
N 14.01 N.upf
CELL_PARAMETERS angstrom
5.5982 0.0000 0.0000
0.0000 9.7053 0.0000
0.0000 0.0000 3.3508
ATOMIC_POSITIONS angstrom
Hf 0.1337 1.6562 0.0000
Hf 2.6654 6.5088 0.0000
Hf 2.9327 3.1964 0.0000
Hf 5.4645 8.0491 0.0000
Pa 0.0000 4.8526 1.6754
Pa 2.7991 0.0000 1.6754
N 1.0909 7.0838 1.6754
N 1.3316 9.5715 0.0000
N 1.4675 4.7189 0.0000
N 1.7081 2.2311 1.6754
N 3.8900 7.4742 1.6754
N 4.1306 4.9864 0.0000
N 4.2666 0.1338 0.0000
N 4.5072 2.6215 1.6754
```

A plane-wave DFT calculation with PBE was carried out for an optimized crystal structure of HfPa2N5. Values from VASP.

Results
Total magnetization   0.00 Bohr magnetons per cell
SG   Pnma, No. 62
Uncorrected formation energy   -12.0 eV/f.u.

```
&SYSTEM
  ibrav = 0, nat = 32, ntyp = 3
/
ATOMIC_SPECIES
Hf 178.49 Hf.upf
Pa 231.04 Pa.upf
N 14.01 N.upf
CELL_PARAMETERS angstrom
7.6003 0.0000 0.0000
0.0000 3.7414 0.0000
0.0000 0.0000 15.9743
ATOMIC_POSITIONS angstrom
Hf 0.9093 0.9354 1.1009
Hf 2.8909 2.8061 9.0880
Hf 4.7095 0.9354 6.8863
Hf 6.6910 2.8061 14.8735
Pa 0.9978 0.9354 11.9764
Pa 1.0047 0.9354 6.7244
Pa 2.7955 2.8061 14.7116
Pa 2.8024 2.8061 3.9892
Pa 4.7979 0.9354 11.9851
Pa 4.8049 0.9354 1.2628
Pa 6.5956 2.8061 9.2499
Pa 6.6026 2.8061 3.9979
N 0.6612 2.8061 13.3407
N 0.9088 2.8061 5.1965
N 0.9275 2.8061 7.9373
N 0.9703 2.8061 0.1907
N 1.4221 2.8061 10.6903
N 2.3781 0.9354 2.7031
N 2.8299 0.9354 8.1779
N 2.8727 0.9354 15.9245
N 2.8913 0.9354 13.1836
N 3.1390 0.9354 5.3535
N 4.4613 2.8061 10.6208
N 4.7090 2.8061 2.7907
N 4.7277 2.8061 0.0499
N 4.7704 2.8061 7.7964
N 5.2222 2.8061 13.2712
N 6.1783 0.9354 5.2841
N 6.6301 0.9354 15.7836
N 6.6728 0.9354 8.0370
N 6.6915 0.9354 10.7779
N 6.9392 0.9354 2.6337
```

A plane-wave DFT calculation with PBE was carried out for an optimized crystal structure of Hf3PaN6. Values from VASP.

Results
Total magnetization   0.00 Bohr magnetons per cell
SG   P2_1/m, No. 11
Uncorrected formation energy   -14.8 eV/f.u.

```
&SYSTEM
  ibrav = 0, nat = 20, ntyp = 3
/
ATOMIC_SPECIES
Hf 178.49 Hf.upf
Pa 231.04 Pa.upf
N 14.01 N.upf
CELL_PARAMETERS angstrom
8.8294 0.0000 0.0000
0.0000 3.3311 0.0000
-2.5947 0.0000 8.5487
ATOMIC_POSITIONS angstrom
Hf -0.1220 0.8328 1.4090
Hf 0.2018 2.4983 4.3415
Hf 0.5704 0.8328 7.7305
Hf 5.6643 2.4983 0.8183
Hf 6.0329 0.8328 4.2073
Hf 6.3567 2.4983 7.1397
Pa 3.0649 0.8328 2.6020
Pa 3.1698 2.4983 5.9467
N -0.6907 0.8328 3.4416
N -1.5303 0.8328 8.0559
N 1.3129 2.4983 2.2976
N 0.6683 2.4983 6.4527
N 2.0709 0.8328 4.6628
N 3.4679 2.4983 0.8477
N 2.7668 0.8328 7.7010
N 4.1639 2.4983 3.8859
N 5.5664 0.8328 2.0960
N 4.9218 0.8328 6.2511
N 7.7650 2.4983 0.4928
N 6.9254 2.4983 5.1071
```

A plane-wave DFT calculation with PBE was carried out for an optimized crystal structure of Hf3Pa2N4. Values from VASP.

Results
Total magnetization   0.00 Bohr magnetons per cell
SG   C2/m, No. 12
Uncorrected formation energy   -13.4 eV/f.u.

```
&SYSTEM
  ibrav = 0, nat = 9, ntyp = 3
/
ATOMIC_SPECIES
Hf 178.49 Hf.upf
Pa 231.04 Pa.upf
N 14.01 N.upf
CELL_PARAMETERS angstrom
5.3420 -1.6050 0.0000
5.3420 1.6050 0.0000
-3.5843 0.0000 7.3662
ATOMIC_POSITIONS angstrom
Hf 0.0000 0.0000 0.0000
Hf -0.6601 0.0000 6.0112
Hf 7.7598 0.0000 1.3549
Pa 2.2325 0.0000 4.3556
Pa 4.8673 0.0000 3.0106
N 1.0170 0.0000 2.0106
N 3.9049 0.0000 0.6805
N 3.1949 0.0000 6.6857
N 6.0827 0.0000 5.3556
```

A plane-wave DFT calculation with PBE was carried out for an optimized crystal structure of HfPa3N. Values from VASP.

Results
Total magnetization   0.00 Bohr magnetons per cell
SG   Pm-3m, No. 221
Uncorrected formation energy   -2.5 eV/f.u.

```
&SYSTEM
  ibrav = 0, nat = 5, ntyp = 3
/
ATOMIC_SPECIES
Hf 178.49 Hf.upf
Pa 231.04 Pa.upf
N 14.01 N.upf
CELL_PARAMETERS angstrom
4.7736 0.0000 0.0000
0.0000 4.7736 0.0000
0.0000 0.0000 4.7736
ATOMIC_POSITIONS angstrom
Hf 0.0000 0.0000 0.0000
Pa 0.0000 2.3868 2.3868
Pa 2.3868 0.0000 2.3868
Pa 2.3868 2.3868 0.0000
N 2.3868 2.3868 2.3868
```